Entry from the Alexandria database: MgZn2Rh at its PBEsol-relaxed geometry (meta-GGA SCAN).

Lattice parameters (Å, degrees): 3.8427 3.8427 3.8524 90.00 90.00 90.00
Closest atoms and distances in Å follow each position.
Space group P4/mmm (No. 123)
One atom of each set of equivalent atoms:
Mg (0.0000, 0.0000, 0.0000) (multiplicity 1)  4 Rh 2.72, 8 Zn 2.72
Zn (0.0000, 0.5000, 0.5000) (multiplicity 2)  4 Zn 2.72, 4 Mg 2.72, 4 Rh 2.72
Rh (0.5000, 0.5000, 0.0000) (multiplicity 1)  4 Mg 2.72, 8 Zn 2.72

- calculated volume (Å³ per cell) = 57
- total DFT energy (no corrections) (eV for the cell shown) = -67.37
- total moment (Bohr magnetons per cell) = 0.00